(1)
First-principles (PBE-GGA) data for crystalline NaSrCaAc at its relaxed geometry, as listed in Alexandria via LeMat-Bulk.

Values from the calculation:
The calculation puts the total energy at -8.4 eV per formula unit. The calculation puts the total moment at 0.000 μB per atom. Its energy relative to the elements is 0.18 eV/atom. As for the polymorph energy (0 for the lowest one): 0 meV per atom.

POSCAR file:
```
NaSrCaAc
1.0
-1.927 1.927 12.698
1.927 -1.927 12.698
1.927 1.927 -12.698
Na Sr Ca Ac
1 1 1 1
Cartesian
0.000 0.000 0.000 Na
0.000 0.000 15.687 Sr
0.000 0.000 6.085 Ca
0.000 0.000 21.656 Ac
```


(2)
First-principles (PBE-GGA) data for crystalline NaCa2AcTl4 at its relaxed geometry, as listed in Alexandria via LeMat-Bulk.

Values from the calculation:
The calculation puts the total energy at -21.6 eV per formula unit. The calculation puts the total moment at 0.000 μB per atom. Its energy relative to the elements is -0.34 eV/atom.

POSCAR file:
```
NaCa2AcTl4
1.0
2.768 1.598 9.350
-2.768 1.598 9.350
0.000 -3.196 9.350
Na Ca Ac Tl
1 2 1 4
Cartesian
0.000 0.000 0.000 Na
0.000 0.000 7.161 Ca
0.000 0.000 20.889 Ca
0.000 0.000 14.025 Ac
0.000 0.000 3.268 Tl
0.000 0.000 10.519 Tl
0.000 0.000 17.531 Tl
0.000 0.000 24.782 Tl
```


(3)
First-principles (PBE-GGA) data for crystalline NaCaAcZn at its relaxed geometry, as listed in Alexandria via LeMat-Bulk.

Values from the calculation:
The calculation puts the total energy at -8.7 eV per formula unit. The calculation puts the total moment at 0.000 μB per atom. Its energy relative to the elements is 0.00 eV/atom.

POSCAR file:
```
NaCaAcZn
1.0
0.000 3.990 3.990
3.990 0.000 3.990
3.990 3.990 0.000
Na Ca Ac Zn
1 1 1 1
Cartesian
0.000 0.000 0.000 Na
5.985 5.985 5.985 Ca
1.995 1.995 1.995 Ac
3.990 3.990 3.990 Zn
```


(4)
First-principles (PBE-GGA) data for crystalline CaAcNb2O8 at its relaxed geometry, as listed in Alexandria via LeMat-Bulk.

Values from the calculation:
The calculation puts the total energy at -97.4 eV per formula unit. The calculation puts the total moment at 0.095 μB per atom. The formation energy from raw total energies is -31.53 eV/f.u.

POSCAR file:
```
CaAcNb2O8
1.0
6.055 0.000 0.000
-3.027 5.244 0.000
0.000 0.000 7.258
Ca Ac Nb O
1 1 2 8
Cartesian
0.000 0.000 0.000 Ca
0.000 0.000 3.629 Ac
0.000 3.496 5.110 Nb
3.027 1.748 2.148 Nb
0.000 1.666 5.601 O
-1.585 4.411 5.601 O
1.443 0.833 1.657 O
0.000 3.496 3.286 O
3.027 1.748 3.971 O
1.585 4.411 5.601 O
4.612 0.833 1.657 O
3.027 3.578 1.657 O
```


(5)
First-principles (PBE-GGA) data for crystalline CaAcNd2 at its relaxed geometry, as listed in Alexandria via LeMat-Bulk.

Values from the calculation:
The calculation puts the total energy at -15.0 eV per formula unit. The calculation puts the total moment at 0.000 μB per atom. Its energy relative to the elements is 0.15 eV/atom. As for the polymorph energy (0 for the lowest one): 101 meV per atom.

POSCAR file:
```
CaAcNd2
1.0
1.862 1.075 13.203
-1.862 1.075 13.203
0.000 -2.150 13.203
Ca Ac Nd
1 1 2
Cartesian
0.000 0.000 0.000 Ca
0.000 0.000 19.804 Ac
0.000 0.000 3.544 Nd
0.000 0.000 36.064 Nd
```


(6)
First-principles (PBE-GGA) data for crystalline CaAc2Nd3 at its relaxed geometry, as listed in Alexandria via LeMat-Bulk.

Values from the calculation:
The calculation puts the total energy at -24.1 eV per formula unit. The calculation puts the total moment at 0.000 μB per atom. Its energy relative to the elements is 0.06 eV/atom.

POSCAR file:
```
CaAc2Nd3
1.0
3.774 0.000 0.000
-0.933 10.656 0.000
-1.455 -0.524 11.827
Ca Ac Nd
2 4 6
Cartesian
-0.290 2.453 4.212 Ca
1.676 7.679 7.615 Ca
-0.340 6.197 4.525 Ac
-0.018 0.574 7.687 Ac
1.405 9.558 4.140 Ac
1.726 3.935 7.302 Ac
-0.370 7.774 1.176 Nd
1.012 0.854 1.219 Nd
-0.142 5.581 10.209 Nd
1.529 4.550 1.617 Nd
0.374 9.278 10.608 Nd
1.757 2.358 10.651 Nd
```


(7)
First-principles (PBE-GGA) data for crystalline CaAc8Nd2 at its relaxed geometry, as listed in Alexandria via LeMat-Bulk.

Values from the calculation:
The calculation puts the total energy at -40.2 eV per formula unit. The calculation puts the total moment at 0.000 μB per atom. Its energy relative to the elements is 0.38 eV/atom. As for the polymorph energy (0 for the lowest one): 264 meV per atom.

POSCAR file:
```
CaAc8Nd2
1.0
6.596 -6.337 0.000
6.596 6.337 0.000
-1.549 0.000 6.219
Ca Ac Nd
1 8 2
Cartesian
0.000 0.000 0.000 Ca
4.879 3.269 1.342 Ac
3.397 0.000 0.690 Ac
6.765 3.269 4.877 Ac
4.397 0.000 4.400 Ac
7.247 0.000 1.819 Ac
4.879 -3.269 1.342 Ac
8.247 0.000 5.529 Ac
6.765 -3.269 4.877 Ac
0.940 0.000 3.180 Nd
10.704 0.000 3.039 Nd
```


(8)
First-principles (PBE-GGA) data for crystalline CaAc4Nd2 at its relaxed geometry, as listed in Alexandria via LeMat-Bulk.

Values from the calculation:
The calculation puts the total energy at -27.1 eV per formula unit. The calculation puts the total moment at 0.000 μB per atom. Its energy relative to the elements is 0.13 eV/atom. As for the polymorph energy (0 for the lowest one): 0 meV per atom.

POSCAR file:
```
CaAc4Nd2
1.0
1.941 -8.554 0.000
1.941 8.554 0.000
0.000 0.000 18.157
Ca Ac Nd
2 8 4
Cartesian
1.941 8.043 13.617 Ca
1.941 -8.043 4.539 Ca
0.000 0.000 0.000 Ac
0.000 0.000 9.078 Ac
1.941 3.774 4.539 Ac
1.941 2.332 11.564 Ac
1.941 2.332 15.671 Ac
1.941 -2.332 2.485 Ac
1.941 -2.332 6.593 Ac
1.941 -3.774 13.617 Ac
1.941 3.120 1.118 Nd
1.941 3.120 7.960 Nd
1.941 -3.120 10.196 Nd
1.941 -3.120 17.039 Nd
```


(9)
First-principles (PBE-GGA) data for crystalline CaAc14Nd at its relaxed geometry, as listed in Alexandria via LeMat-Bulk.

Values from the calculation:
The calculation puts the total energy at -64.1 eV per formula unit. The calculation puts the total moment at 0.000 μB per atom. Its energy relative to the elements is 0.01 eV/atom.

POSCAR file:
```
CaAc14Nd
1.0
11.239 0.000 0.000
0.000 5.613 5.613
0.000 -5.613 5.613
Ca Ac Nd
1 14 1
Cartesian
0.000 0.000 0.000 Ca
0.000 -2.793 8.418 Ac
0.000 2.793 8.418 Ac
2.778 0.000 2.835 Ac
2.788 -2.775 5.611 Ac
2.788 2.775 5.611 Ac
2.799 0.000 8.387 Ac
5.620 0.000 11.224 Ac
5.620 -2.797 2.804 Ac
5.620 2.797 2.804 Ac
5.620 0.000 5.610 Ac
8.440 0.000 8.387 Ac
8.451 -2.775 5.611 Ac
8.451 2.775 5.611 Ac
8.461 0.000 2.835 Ac
0.000 0.000 5.612 Nd
```


(10)
First-principles (PBE-GGA) data for crystalline Ca3Ac5Nd3 at its relaxed geometry, as listed in Alexandria via LeMat-Bulk.

Values from the calculation:
The calculation puts the total energy at -37.5 eV per formula unit. The calculation puts the total moment at 0.000 μB per atom. Its energy relative to the elements is 0.31 eV/atom.

POSCAR file:
```
Ca3Ac5Nd3
1.0
12.130 0.000 0.000
-6.065 10.505 0.000
0.000 0.000 3.703
Ca Ac Nd
3 5 3
Cartesian
-1.006 1.743 0.000 Ca
2.013 0.000 0.000 Ca
5.059 8.762 0.000 Ca
-3.994 6.917 0.000 Ac
0.000 7.003 0.000 Ac
2.071 3.588 0.000 Ac
7.987 0.000 0.000 Ac
6.065 3.502 0.000 Ac
-2.487 4.307 1.851 Nd
4.973 0.000 1.851 Nd
3.578 6.198 1.851 Nd
```


(11)
First-principles (PBE-GGA) data for crystalline Ca2Ac4Nd3 at its relaxed geometry, as listed in Alexandria via LeMat-Bulk.

Values from the calculation:
The calculation puts the total energy at -34.3 eV per formula unit. The calculation puts the total moment at 0.000 μB per atom. Its energy relative to the elements is 0.05 eV/atom.

POSCAR file:
```
Ca2Ac4Nd3
1.0
6.679 0.000 0.000
3.337 5.808 0.000
0.055 3.724 9.424
Ca Ac Nd
2 4 3
Cartesian
0.542 0.907 1.559 Ca
9.529 8.625 7.865 Ca
1.741 2.842 4.702 Ac
2.894 4.766 7.850 Ac
7.177 4.765 1.574 Ac
8.330 6.689 4.722 Ac
3.954 2.838 1.604 Nd
5.036 4.766 4.712 Nd
6.117 6.694 7.819 Nd
```


(12)
First-principles (PBE-GGA) data for crystalline Ca3Ac2Nd at its relaxed geometry, as listed in Alexandria via LeMat-Bulk.

Values from the calculation:
The calculation puts the total energy at -18.2 eV per formula unit. The calculation puts the total moment at 0.000 μB per atom. Its energy relative to the elements is 0.13 eV/atom.

POSCAR file:
```
Ca3Ac2Nd
1.0
7.234 -1.881 0.000
7.234 1.881 0.000
-2.356 0.000 18.522
Ca Ac Nd
6 4 2
Cartesian
0.718 0.000 9.091 Ca
2.583 0.000 12.514 Ca
3.956 0.000 3.086 Ca
8.156 0.000 15.436 Ca
9.530 0.000 6.008 Ca
11.394 0.000 9.432 Ca
-0.503 0.000 18.513 Ac
5.784 0.000 6.312 Ac
6.328 0.000 12.210 Ac
12.615 0.000 0.009 Ac
0.087 0.000 3.395 Nd
12.025 0.000 15.127 Nd
```